Computed, not measured: a relaxed Tb2PrErSc crystal at the PBE level of DFT.

a = 6.982 Å, b = 6.982 Å, c = 7.111 Å
α = 90.00°, β = 90.00°, γ = 108.03°
Fractional coordinates of all 10 atoms:
Tb 0.198 0.198 0.000
Tb 0.198 0.198 0.500
Tb 0.802 0.802 0.000
Tb 0.802 0.802 0.500
Pr 0.229 0.771 0.750
Pr 0.771 0.229 0.250
Er 0.235 0.765 0.250
Er 0.765 0.235 0.750
Sc 0.493 0.507 0.750
Sc 0.507 0.493 0.250

- Space-group type: No. 63
- E_form: 0.33 eV/atom
- E: -46.5 eV per cell
- Total moment: 0.00 μB per atom